# Si2Hg

A relaxed structure of Si2Hg (PBE, Alexandria via LeMat-Bulk).

```
data_Si2Hg
_chemical_formula_sum 'Si4 Hg2'
_symmetry_space_group_name_H-M 'P 4/n m m'
_symmetry_Int_Tables_number 129
_cell_length_a 4.621
_cell_length_b 4.621
_cell_length_c 5.751
_cell_angle_alpha 90.00
_cell_angle_beta 90.00
_cell_angle_gamma 90.00
loop_
_symmetry_equiv_pos_as_xyz
'x,y,z'
'-x,-y,-z'
'-y+1/2,x,z'
'y+1/2,-x,-z'
'-x+1/2,-y+1/2,z'
'x+1/2,y+1/2,-z'
'y,-x+1/2,z'
'-y,x+1/2,-z'
'x+1/2,-y,-z'
'-x+1/2,y,z'
'-y,-x,-z'
'y,x,z'
'-x,y+1/2,-z'
'x,-y+1/2,z'
'y+1/2,x+1/2,-z'
'-y+1/2,-x+1/2,z'
loop_
_atom_site_label
_atom_site_type_symbol
_atom_site_fract_x
_atom_site_fract_y
_atom_site_fract_z
Si1 Si 0.250 0.250 0.160
Si2 Si 0.250 0.750 0.000
Hg1 Hg 0.250 0.250 0.614
```

The total energy comes out at -3.3602 eV per atom.

=====

# SiHg3

A relaxed structure of SiHg3 (PBE, Alexandria via LeMat-Bulk).

```
data_SiHg3
_chemical_formula_sum 'Si4 Hg12'
_symmetry_space_group_name_H-M 'C m c m'
_symmetry_Int_Tables_number 63
_symmetry_space_group_name_Hall '-C 2c 2'
_cell_length_a 8.847
_cell_length_b 12.178
_cell_length_c 3.695
_cell_angle_alpha 90.00
_cell_angle_beta 90.00
_cell_angle_gamma 90.00
loop_
_atom_site_label
_atom_site_type_symbol
_atom_site_fract_x
_atom_site_fract_y
_atom_site_fract_z
Si1 Si 0.000 0.065 0.250
Hg1 Hg 0.000 0.387 0.750
Hg2 Hg 0.219 0.148 0.750
```

The total energy comes out at -1.3334 eV per atom.

=====

# SiHg2

A relaxed structure of SiHg2 (PBE, Alexandria via LeMat-Bulk).

```
data_SiHg2
_chemical_formula_sum 'Si3 Hg6'
_symmetry_space_group_name_H-M 'R -3 m'
_symmetry_Int_Tables_number 166
_symmetry_space_group_name_Hall '-R 3 2"'
_cell_length_a 4.6331
_cell_length_b 4.6331
_cell_length_c 11.4641
_cell_angle_alpha 90.00
_cell_angle_beta 90.00
_cell_angle_gamma 120.00
loop_
_atom_site_label
_atom_site_type_symbol
_atom_site_fract_x
_atom_site_fract_y
_atom_site_fract_z
Si1 Si 0.0000 0.0000 0.0000
Hg1 Hg 0.0000 0.0000 0.2489
```

The total energy comes out at -1.6530 eV per atom.

=====

# SiHg2

A relaxed structure of SiHg2 (PBE, Alexandria via LeMat-Bulk).

```
data_SiHg2
_chemical_formula_sum 'Si4 Hg8'
_symmetry_space_group_name_H-M 'I 4/m c m'
_symmetry_Int_Tables_number 140
_symmetry_space_group_name_Hall '-I 4 2c'
_cell_length_a 7.567
_cell_length_b 7.567
_cell_length_c 4.768
_cell_angle_alpha 90.00
_cell_angle_beta 90.00
_cell_angle_gamma 90.00
loop_
_atom_site_label
_atom_site_type_symbol
_atom_site_fract_x
_atom_site_fract_y
_atom_site_fract_z
Si1 Si 0.000 0.000 0.250
Hg1 Hg 0.151 0.349 0.000
```

The total energy comes out at -1.6533 eV per atom.

=====

# SiHg3

A relaxed structure of SiHg3 (PBE, Alexandria via LeMat-Bulk).

```
data_SiHg3
_chemical_formula_sum 'Si1 Hg3'
_symmetry_space_group_name_H-M 'P m -3 m'
_symmetry_Int_Tables_number 221
_symmetry_space_group_name_Hall '-P 4 2 3'
_cell_length_a 5.275
_cell_length_b 5.275
_cell_length_c 5.275
_cell_angle_alpha 90.00
_cell_angle_beta 90.00
_cell_angle_gamma 90.00
loop_
_atom_site_label
_atom_site_type_symbol
_atom_site_fract_x
_atom_site_fract_y
_atom_site_fract_z
Si1 Si 0.000 0.000 0.000
Hg1 Hg 0.000 0.000 0.500
```

The total energy comes out at -1.2711 eV per atom.

=====

# Si2Hg

A relaxed structure of Si2Hg (PBE, Alexandria via LeMat-Bulk).

```
data_Si2Hg
_chemical_formula_sum 'Si8 Hg4'
_symmetry_space_group_name_H-M 'C m m m'
_symmetry_Int_Tables_number 65
_symmetry_space_group_name_Hall '-C 2 2'
_cell_length_a 4.294
_cell_length_b 13.607
_cell_length_c 4.421
_cell_angle_alpha 90.00
_cell_angle_beta 90.00
_cell_angle_gamma 90.00
loop_
_atom_site_label
_atom_site_type_symbol
_atom_site_fract_x
_atom_site_fract_y
_atom_site_fract_z
Si1 Si 0.000 0.000 0.000
Si2 Si 0.000 0.094 0.500
Si3 Si 0.000 0.500 0.500
Hg1 Hg 0.000 0.327 0.000
```

The total energy comes out at -3.1628 eV per atom.

=====

# SiHg3

A relaxed structure of SiHg3 (PBE, Alexandria via LeMat-Bulk).

```
data_SiHg3
_chemical_formula_sum 'Si2 Hg6'
_symmetry_space_group_name_H-M 'I 4/m m m'
_symmetry_Int_Tables_number 139
_symmetry_space_group_name_Hall '-I 4 2'
_cell_length_a 4.478
_cell_length_b 4.478
_cell_length_c 9.026
_cell_angle_alpha 90.00
_cell_angle_beta 90.00
_cell_angle_gamma 90.00
loop_
_atom_site_label
_atom_site_type_symbol
_atom_site_fract_x
_atom_site_fract_y
_atom_site_fract_z
Si1 Si 0.000 0.000 0.000
Hg1 Hg 0.000 0.000 0.500
Hg2 Hg 0.000 0.500 0.250
```

The total energy comes out at -1.1625 eV per atom.

=====

# Si2Hg

A relaxed structure of Si2Hg (PBE, Alexandria via LeMat-Bulk).

```
data_Si2Hg
_chemical_formula_sum 'Si2 Hg1'
_symmetry_space_group_name_H-M 'P 4/m m m'
_symmetry_Int_Tables_number 123
_symmetry_space_group_name_Hall '-P 4 2'
_cell_length_a 3.765
_cell_length_b 3.765
_cell_length_c 5.265
_cell_angle_alpha 90.00
_cell_angle_beta 90.00
_cell_angle_gamma 90.00
loop_
_atom_site_label
_atom_site_type_symbol
_atom_site_fract_x
_atom_site_fract_y
_atom_site_fract_z
Si1 Si 0.000 0.000 0.000
Si2 Si 0.500 0.500 0.500
Hg1 Hg 0.000 0.000 0.500
```

The total energy comes out at -2.5130 eV per atom.

=====

# SiHg2

A relaxed structure of SiHg2 (PBE, Alexandria via LeMat-Bulk).

```
data_SiHg2
_chemical_formula_sum 'Si3 Hg6'
_symmetry_space_group_name_H-M 'P -6 2 m'
_symmetry_Int_Tables_number 189
_symmetry_space_group_name_Hall 'P -6 -2'
_cell_length_a 7.6368
_cell_length_b 7.6368
_cell_length_c 3.9872
_cell_angle_alpha 90.00
_cell_angle_beta 90.00
_cell_angle_gamma 120.00
loop_
_atom_site_label
_atom_site_type_symbol
_atom_site_fract_x
_atom_site_fract_y
_atom_site_fract_z
Si1 Si 0.0000 0.0000 0.0000
Si2 Si 0.3333 0.6667 0.5000
Hg1 Hg 0.0000 0.2670 0.5000
Hg2 Hg 0.0000 0.5963 0.0000
```

The total energy comes out at -1.5590 eV per atom.

=====

# Si5Hg

A relaxed structure of Si5Hg (PBE, Alexandria via LeMat-Bulk).

```
data_Si5Hg
_chemical_formula_sum 'Si20 Hg4'
_symmetry_space_group_name_H-M 'F -4 3 m'
_symmetry_Int_Tables_number 216
_symmetry_space_group_name_Hall 'F -4 2 3'
_cell_length_a 7.438
_cell_length_b 7.438
_cell_length_c 7.438
_cell_angle_alpha 90.00
_cell_angle_beta 90.00
_cell_angle_gamma 90.00
loop_
_atom_site_label
_atom_site_type_symbol
_atom_site_fract_x
_atom_site_fract_y
_atom_site_fract_z
Si1 Si 0.000 0.000 0.000
Si2 Si 0.125 0.125 0.375
Hg1 Hg 0.250 0.250 0.750
```

The total energy comes out at -3.8943 eV per atom.

=====

# SiHg2

A relaxed structure of SiHg2 (PBE, Alexandria via LeMat-Bulk).

```
data_SiHg2
_chemical_formula_sum 'Si2 Hg4'
_symmetry_space_group_name_H-M 'P -1'
_symmetry_Int_Tables_number 2
_cell_length_a 3.816
_cell_length_b 5.175
_cell_length_c 7.913
_cell_angle_alpha 71.51
_cell_angle_beta 79.22
_cell_angle_gamma 89.84
loop_
_symmetry_equiv_pos_as_xyz
'x,y,z'
'-x,-y,-z'
loop_
_atom_site_label
_atom_site_type_symbol
_atom_site_fract_x
_atom_site_fract_y
_atom_site_fract_z
Si1 Si 0.211 0.453 0.099
Hg1 Hg 0.178 0.909 0.188
Hg2 Hg 0.373 0.706 0.591
```

The total energy comes out at -1.8119 eV per atom.

=====

# Si2Hg

A relaxed structure of Si2Hg (PBE, Alexandria via LeMat-Bulk).

```
data_Si2Hg
_chemical_formula_sum 'Si8 Hg4'
_symmetry_space_group_name_H-M 'C m c m'
_symmetry_Int_Tables_number 63
_symmetry_space_group_name_Hall '-C 2c 2'
_cell_length_a 2.970
_cell_length_b 19.240
_cell_length_c 4.224
_cell_angle_alpha 90.00
_cell_angle_beta 90.00
_cell_angle_gamma 90.00
loop_
_atom_site_label
_atom_site_type_symbol
_atom_site_fract_x
_atom_site_fract_y
_atom_site_fract_z
Si1 Si 0.000 0.044 0.250
Si2 Si 0.000 0.431 0.250
Hg1 Hg 0.000 0.304 0.750
```

The total energy comes out at -3.2960 eV per atom.

=====

Please write out number 12 again, unchanged.
# Si2Hg

A relaxed structure of Si2Hg (PBE, Alexandria via LeMat-Bulk).

```
data_Si2Hg
_chemical_formula_sum 'Si8 Hg4'
_symmetry_space_group_name_H-M 'C m c m'
_symmetry_Int_Tables_number 63
_symmetry_space_group_name_Hall '-C 2c 2'
_cell_length_a 2.970
_cell_length_b 19.240
_cell_length_c 4.224
_cell_angle_alpha 90.00
_cell_angle_beta 90.00
_cell_angle_gamma 90.00
loop_
_atom_site_label
_atom_site_type_symbol
_atom_site_fract_x
_atom_site_fract_y
_atom_site_fract_z
Si1 Si 0.000 0.044 0.250
Si2 Si 0.000 0.431 0.250
Hg1 Hg 0.000 0.304 0.750
```

The total energy comes out at -3.2960 eV per atom.